TbSi3Pd3 after structural relaxation. Source: the Alexandria database, functional PBE-GGA.

```
TbSi3Pd3
1.0
8.922 0.000 0.000
-4.461 7.727 0.000
0.000 0.000 4.086
Tb Si Pd
2 6 6
direct
0.333 0.667 0.250
0.667 0.333 0.750
0.050 0.618 0.750
0.382 0.432 0.750
0.432 0.050 0.250
0.568 0.950 0.750
0.618 0.568 0.250
0.950 0.382 0.250
0.090 0.368 0.750
0.278 0.910 0.750
0.368 0.278 0.250
0.632 0.722 0.750
0.722 0.090 0.250
0.910 0.632 0.250
```

Summary:
Formation energy from raw total energies ... -547.5 meV/atom
Calculated density ... 6.6 g/cm3
M_tot ... 0.00 μB per formula unit
Excess energy over the best structure of this formula in the dataset ... 0.0 kJ/mol of atoms
Space group ... No. 176

---

Tb2Si4Pd5 after structural relaxation. Source: the Alexandria database, functional PBE-GGA.

```
Tb2Si4Pd5
1.0
0.000 4.829 7.047
2.860 0.000 7.047
2.860 4.829 0.000
Tb Si Pd
2 4 5
direct
0.142 0.142 0.858
0.858 0.858 0.142
0.226 0.497 0.503
0.497 0.226 0.774
0.503 0.774 0.226
0.774 0.503 0.497
0.000 0.000 0.500
0.250 0.250 0.250
0.500 0.500 0.000
0.500 0.500 0.500
0.750 0.750 0.750
```

Summary:
Formation energy from raw total energies ... -749.9 meV/atom
Calculated density ... 8.2 g/cm3
M_tot ... 0.00 μB per formula unit
Space group ... No. 69

---

TbSi3Pd5 after structural relaxation. Source: the Alexandria database, functional PBE-GGA.

```
TbSi3Pd5
1.0
1.940 -6.265 0.000
1.940 6.265 0.000
0.000 0.000 12.639
Tb Si Pd
2 6 10
direct
0.146 0.854 0.750
0.854 0.146 0.250
0.119 0.881 0.250
0.386 0.614 0.041
0.386 0.614 0.459
0.614 0.386 0.541
0.614 0.386 0.959
0.881 0.119 0.750
0.000 0.000 0.000
0.000 0.000 0.500
0.206 0.794 0.077
0.206 0.794 0.423
0.449 0.551 0.646
0.449 0.551 0.854
0.551 0.449 0.146
0.551 0.449 0.354
0.794 0.206 0.577
0.794 0.206 0.923
```

Summary:
Formation energy from raw total energies ... -708.2 meV/atom
Calculated density ... 8.4 g/cm3
M_tot ... 0.00 μB per formula unit
Space group ... No. 63

---

Tb3Si4Pd7 after structural relaxation. Source: the Alexandria database, functional PBE-GGA.

```
Tb3Si4Pd7
1.0
7.792 -2.024 0.000
7.792 2.024 0.000
-5.471 0.000 7.711
Tb Si Pd
3 4 7
direct
0.000 0.000 0.000
0.325 0.325 0.326
0.675 0.675 0.674
0.110 0.110 0.827
0.335 0.335 0.730
0.665 0.665 0.270
0.890 0.890 0.173
0.000 0.000 0.500
0.170 0.170 0.423
0.306 0.306 0.964
0.492 0.492 0.724
0.508 0.508 0.276
0.694 0.694 0.036
0.830 0.830 0.577
```

Summary:
Formation energy from raw total energies ... -925.4 meV/atom
Calculated density ... 9.1 g/cm3
M_tot ... 0.00 μB per formula unit
Space group ... No. 12

---

Tb3Si2Pd2 after structural relaxation. Source: the Alexandria database, functional PBE-GGA.

```
Tb3Si2Pd2
1.0
5.700 0.000 0.000
0.000 7.867 0.000
0.000 0.000 13.007
Tb Si Pd
12 8 8
direct
0.126 0.098 0.106
0.126 0.098 0.394
0.126 0.402 0.606
0.126 0.402 0.894
0.363 0.736 0.250
0.363 0.764 0.750
0.637 0.236 0.250
0.637 0.264 0.750
0.874 0.598 0.106
0.874 0.598 0.394
0.874 0.902 0.606
0.874 0.902 0.894
0.148 0.115 0.750
0.148 0.385 0.250
0.317 0.750 0.000
0.317 0.750 0.500
0.683 0.250 0.000
0.683 0.250 0.500
0.852 0.615 0.750
0.852 0.885 0.250
0.382 0.050 0.590
0.382 0.050 0.910
0.382 0.450 0.090
0.382 0.450 0.410
0.618 0.550 0.590
0.618 0.550 0.910
0.618 0.950 0.090
0.618 0.950 0.410
```

Summary:
Formation energy from raw total energies ... -885.6 meV/atom
Calculated density ... 8.5 g/cm3
M_tot ... 0.00 μB per formula unit
Space group ... No. 57

---

Tb2Si3Pd2 after structural relaxation. Source: the Alexandria database, functional PBE-GGA.

```
Tb2Si3Pd2
1.0
2.085 -8.899 0.000
2.085 8.899 0.000
0.000 0.000 6.916
Tb Si Pd
4 6 4
direct
0.055 0.945 0.750
0.154 0.846 0.250
0.846 0.154 0.750
0.945 0.055 0.250
0.224 0.776 0.750
0.440 0.560 0.573
0.440 0.560 0.927
0.560 0.440 0.073
0.560 0.440 0.427
0.776 0.224 0.250
0.308 0.692 0.048
0.308 0.692 0.452
0.692 0.308 0.548
0.692 0.308 0.952
```

Summary:
Formation energy from raw total energies ... -918.0 meV/atom
Calculated density ... 8.0 g/cm3
M_tot ... 0.00 μB per formula unit
Excess energy over the best structure of this formula in the dataset ... 0.0 kJ/mol of atoms
Space group ... No. 63

---

Tb2Si2Pd3 after structural relaxation. Source: the Alexandria database, functional PBE-GGA.

```
Tb2Si2Pd3
1.0
10.337 0.000 0.000
0.000 3.903 0.000
-2.916 0.000 6.387
Tb Si Pd
4 4 6
direct
0.133 0.000 0.271
0.367 0.500 0.729
0.633 0.500 0.271
0.867 0.000 0.729
0.152 0.000 0.720
0.348 0.500 0.280
0.652 0.500 0.720
0.848 0.000 0.280
0.000 0.500 0.500
0.128 0.500 0.936
0.372 0.000 0.064
0.500 0.000 0.500
0.628 0.000 0.936
0.872 0.500 0.064
```

Summary:
Formation energy from raw total energies ... -921.8 meV/atom
Calculated density ... 8.9 g/cm3
M_tot ... 0.00 μB per formula unit
Space group ... No. 12

---

TbSiPd after structural relaxation. Source: the Alexandria database, functional PBE-GGA.

```
TbSiPd
1.0
10.362 0.000 0.000
0.000 4.265 0.000
-4.735 0.000 5.210
Tb Si Pd
4 4 4
direct
0.050 0.000 0.311
0.450 0.500 0.689
0.550 0.500 0.311
0.950 0.000 0.689
0.152 0.500 0.099
0.348 0.000 0.901
0.652 0.000 0.099
0.848 0.500 0.901
0.183 0.500 0.746
0.317 0.000 0.254
0.683 0.000 0.746
0.817 0.500 0.254
```

Summary:
Formation energy from raw total energies ... -929.9 meV/atom
Calculated density ... 8.5 g/cm3
M_tot ... 0.00 μB per formula unit
Space group ... No. 12

---

Question: Among the records above, which one has the lowest calculated density?
Answer: TbSi3Pd3

---

Question: Which of these has the highest calculated density?
Answer: Tb3Si4Pd7

---

What did the seventh record say?
Tb2Si2Pd3 after structural relaxation. Source: the Alexandria database, functional PBE-GGA.

```
Tb2Si2Pd3
1.0
10.337 0.000 0.000
0.000 3.903 0.000
-2.916 0.000 6.387
Tb Si Pd
4 4 6
direct
0.133 0.000 0.271
0.367 0.500 0.729
0.633 0.500 0.271
0.867 0.000 0.729
0.152 0.000 0.720
0.348 0.500 0.280
0.652 0.500 0.720
0.848 0.000 0.280
0.000 0.500 0.500
0.128 0.500 0.936
0.372 0.000 0.064
0.500 0.000 0.500
0.628 0.000 0.936
0.872 0.500 0.064
```

Summary:
Formation energy from raw total energies ... -921.8 meV/atom
Calculated density ... 8.9 g/cm3
M_tot ... 0.00 μB per formula unit
Space group ... No. 12

---

Question: What is the M_tot in the third record?
Answer: 0.00 μB per formula unit